(1)
! meta-GGA SCAN HgAu2, single point on PBEsol structure; values from VASP
&SYSTEM
  ibrav = 0, nat = 6, ntyp = 2
/
ATOMIC_SPECIES
Hg 200.59 Hg.upf
Au 196.97 Au.upf
ATOMIC_POSITIONS crystal
Hg 0.000 0.000 0.000
Hg 0.500 0.500 0.500
Au 0.000 0.000 0.331
Au 0.000 0.000 0.669
Au 0.500 0.500 0.169
Au 0.500 0.500 0.831
CELL_PARAMETERS angstrom
2.973 0.000 0.000
0.000 4.146 0.000
0.000 0.000 8.808
! SG: No. 71
! DFT formation energy in kJ/mol of formula units: 27


(2)
! meta-GGA SCAN HgAu3, single point on PBEsol structure; values from VASP
&SYSTEM
  ibrav = 0, nat = 4, ntyp = 2
/
ATOMIC_SPECIES
Hg 200.59 Hg.upf
Au 196.97 Au.upf
ATOMIC_POSITIONS crystal
Hg 0.000 0.000 0.000
Au 0.000 0.500 0.655
Au 0.500 0.000 0.501
Au 0.500 0.500 0.163
CELL_PARAMETERS angstrom
2.998 0.000 0.000
0.000 4.770 0.000
0.000 0.000 4.972
! SG: No. 25
! DFT formation energy in kJ/mol of formula units: 24


(3)
! meta-GGA SCAN HgAu2, single point on PBEsol structure; values from VASP
&SYSTEM
  ibrav = 0, nat = 12, ntyp = 2
/
ATOMIC_SPECIES
Hg 200.59 Hg.upf
Au 196.97 Au.upf
ATOMIC_POSITIONS crystal
Hg 0.000 0.111 0.250
Hg 0.000 0.889 0.750
Hg 0.500 0.389 0.750
Hg 0.500 0.611 0.250
Au 0.000 0.222 0.750
Au 0.000 0.443 0.250
Au 0.000 0.557 0.750
Au 0.000 0.778 0.250
Au 0.500 0.057 0.750
Au 0.500 0.278 0.250
Au 0.500 0.722 0.750
Au 0.500 0.943 0.250
CELL_PARAMETERS angstrom
2.975 0.000 0.000
0.000 15.190 0.000
0.000 0.000 4.792
! SG: No. 63
! DFT formation energy in kJ/mol of formula units: 25


(4)
! meta-GGA SCAN Hg3AuI, single point on PBEsol structure; values from VASP
&SYSTEM
  ibrav = 0, nat = 5, ntyp = 3
/
ATOMIC_SPECIES
Hg 200.59 Hg.upf
Au 196.97 Au.upf
I 126.90 I.upf
ATOMIC_POSITIONS crystal
Hg 0.000 0.000 0.500
Hg 0.000 0.500 0.000
Hg 0.500 0.000 0.000
Au 0.000 0.000 0.000
I 0.500 0.500 0.500
CELL_PARAMETERS angstrom
5.304 0.000 0.000
0.000 5.304 0.000
0.000 0.000 5.304
! SG: No. 221
! Formation energy from raw total energies in eV/atom: -0.07


(5)
! meta-GGA SCAN HgAuIN2, single point on PBEsol structure; values from VASP
&SYSTEM
  ibrav = 0, nat = 5, ntyp = 4
/
ATOMIC_SPECIES
Hg 200.59 Hg.upf
Au 196.97 Au.upf
I 126.90 I.upf
N 14.01 N.upf
ATOMIC_POSITIONS crystal
Hg 0.000 0.000 0.000
Au 0.500 0.500 0.500
I 0.500 0.500 0.000
N 0.000 0.500 0.500
N 0.500 0.000 0.500
CELL_PARAMETERS angstrom
4.042 0.000 0.000
0.000 4.042 0.000
0.000 0.000 7.354
! SG: No. 123
! Formation energy from raw total energies in eV/atom: 1.42


(6)
! meta-GGA SCAN HgAuIO2, single point on PBEsol structure; values from VASP
&SYSTEM
  ibrav = 0, nat = 5, ntyp = 4
/
ATOMIC_SPECIES
Hg 200.59 Hg.upf
Au 196.97 Au.upf
I 126.90 I.upf
O 16.00 O.upf
ATOMIC_POSITIONS crystal
Hg 0.000 0.000 0.000
Au 0.500 0.500 0.500
I 0.500 0.500 0.000
O 0.000 0.500 0.500
O 0.500 0.000 0.500
CELL_PARAMETERS angstrom
4.015 0.000 0.000
0.000 4.015 0.000
0.000 0.000 6.755
! SG: No. 123
! Formation energy from raw total energies in eV/atom: 0.37


(7)
! meta-GGA SCAN HgAuI2O, single point on PBEsol structure; values from VASP
&SYSTEM
  ibrav = 0, nat = 5, ntyp = 4
/
ATOMIC_SPECIES
Hg 200.59 Hg.upf
Au 196.97 Au.upf
I 126.90 I.upf
O 16.00 O.upf
ATOMIC_POSITIONS crystal
Hg 0.000 0.000 0.000
Au 0.500 0.500 0.500
I 0.000 0.500 0.000
I 0.500 0.000 0.000
O 0.000 0.000 0.500
CELL_PARAMETERS angstrom
5.770 0.000 0.000
0.000 5.770 0.000
0.000 0.000 4.000
! SG: No. 123
! Formation energy from raw total energies in eV/atom: 0.57


(8)
! meta-GGA SCAN InHg2Au, single point on PBEsol structure; values from VASP
&SYSTEM
  ibrav = 0, nat = 4, ntyp = 3
/
ATOMIC_SPECIES
In 114.82 In.upf
Hg 200.59 Hg.upf
Au 196.97 Au.upf
ATOMIC_POSITIONS crystal
In 0.000 0.000 0.000
Hg 0.258 0.500 0.742
Hg 0.742 0.500 0.258
Au 0.500 0.000 0.500
CELL_PARAMETERS angstrom
4.175 0.000 0.000
0.000 5.129 0.000
-0.192 0.000 4.209
! SG: No. 10
! DFT formation energy in kJ/mol of formula units: -12


(9)
! meta-GGA SCAN In2HgAu, single point on PBEsol structure; values from VASP
&SYSTEM
  ibrav = 0, nat = 4, ntyp = 3
/
ATOMIC_SPECIES
In 114.82 In.upf
Hg 200.59 Hg.upf
Au 196.97 Au.upf
ATOMIC_POSITIONS crystal
In 0.079 0.000 0.217
In 0.921 0.000 0.783
Hg 0.000 0.500 0.500
Au 0.500 0.500 0.000
CELL_PARAMETERS angstrom
3.055 0.000 0.000
0.000 3.440 0.000
-0.886 0.000 8.508
! SG: No. 10
! DFT formation energy in kJ/mol of formula units: -41


(10)
! meta-GGA SCAN InHg2Au, single point on PBEsol structure; values from VASP
&SYSTEM
  ibrav = 0, nat = 8, ntyp = 3
/
ATOMIC_SPECIES
In 114.82 In.upf
Hg 200.59 Hg.upf
Au 196.97 Au.upf
ATOMIC_POSITIONS crystal
In 0.000 0.000 0.000
In 0.500 0.500 0.000
Hg 0.014 0.500 0.542
Hg 0.258 0.500 0.283
Hg 0.514 0.000 0.542
Hg 0.758 0.000 0.283
Au 0.259 0.000 0.786
Au 0.759 0.500 0.786
CELL_PARAMETERS angstrom
8.808 0.000 0.000
0.000 3.484 0.000
-1.376 0.000 5.741
! SG: No. 8
! DFT formation energy in kJ/mol of formula units: -9


(11)
! meta-GGA SCAN InHgAu2, single point on PBEsol structure; values from VASP
&SYSTEM
  ibrav = 0, nat = 4, ntyp = 3
/
ATOMIC_SPECIES
In 114.82 In.upf
Hg 200.59 Hg.upf
Au 196.97 Au.upf
ATOMIC_POSITIONS crystal
In 0.000 0.000 0.000
Hg 0.000 0.000 0.500
Au 0.500 0.500 0.248
Au 0.500 0.500 0.752
CELL_PARAMETERS angstrom
3.625 0.000 0.000
0.000 3.625 0.000
0.000 0.000 5.882
! SG: No. 123
! DFT formation energy in kJ/mol of formula units: -13


(12)
! meta-GGA SCAN InHg2Au, single point on PBEsol structure; values from VASP
&SYSTEM
  ibrav = 0, nat = 4, ntyp = 3
/
ATOMIC_SPECIES
In 114.82 In.upf
Hg 200.59 Hg.upf
Au 196.97 Au.upf
ATOMIC_POSITIONS crystal
In 0.000 0.000 0.000
Hg 0.500 0.500 0.275
Hg 0.500 0.500 0.725
Au 0.000 0.000 0.500
CELL_PARAMETERS angstrom
3.214 0.000 0.000
0.000 3.214 0.000
0.000 0.000 8.347
! SG: No. 123
! DFT formation energy in kJ/mol of formula units: 32


| no. | DOS(E_F) (states/eV/f.u.) | size of the total moment (μB/f.u.) | theoretical density (g cm⁻³) |
| --- | --- | --- | --- |
| 1 | 0.90 | 0.00 | 18.184 |
| 2 | 1.05 | 0.00 | 18.485 |
| 3 | 0.85 | 0.00 | 18.234 |
| 4 | 0.92 | 0.00 | 10.304 |
| 5 | 1.16 | 3.38 | 7.635 |
| 6 | 3.32 | 1.14 | 8.488 |
| 7 | 4.03 | 0.45 | 8.323 |
| 8 | 1.28 | 0.00 | 13.137 |
| 9 | 1.36 | 0.00 | 11.647 |
| 10 | 1.17 | 0.00 | 13.440 |
| 11 | 1.26 | 0.00 | 15.237 |
| 12 | 1.14 | 0.00 | 13.730 |